## HoTa2Os3 (PBE)

Data for crystalline HoTa2Os3 at its relaxed geometry.

```
HoTa2Os3
1.0
3.1584 0.0000 0.0000
0.0000 3.1584 0.0000
0.0000 0.0000 10.5264
Ho Ta Os
1 2 3
direct
0.0000 0.0000 0.0000
0.0000 0.0000 0.3397
0.0000 0.0000 0.6603
0.5000 0.5000 0.2005
0.5000 0.5000 0.5000
0.5000 0.5000 0.7995
```

Summary:
Uncorrected energy in eV per cell: -63.9
Formation energy in meV/atom: -323
SG: P4/mmm (123)
Volume in Å³ per cell: 105.00